# 1
# LiSm2TiO5 | the Alexandria database | PBE | optimized geometry
data_LiSm2TiO5
_chemical_formula_sum 'Li4 Sm8 Ti4 O20'
_space_group_name_H-M_alt 'C m c 21'
_space_group_IT_number 36
_space_group_name_Hall 'C 2c -2'
_cell_length_a 3.416
_cell_length_b 13.141
_cell_length_c 9.699
_cell_angle_alpha 90.00
_cell_angle_beta 90.00
_cell_angle_gamma 90.00
loop_
_atom_site_label
_atom_site_fract_x
_atom_site_fract_y
_atom_site_fract_z
Li1 0.000 0.218 0.000
Sm1 0.000 0.117 0.678
Sm2 0.000 0.144 0.290
Ti1 0.000 0.456 0.459
O1 0.000 0.055 0.046
O2 0.000 0.288 0.658
O3 0.000 0.319 0.358
O4 0.000 0.375 0.997
O5 0.000 0.495 0.768
# Crystal system: orthorhombic
# Formation energy from raw total energies: -2.949 eV per atom
# Density: 6.65 Mg/m³

***

# 2
# BaTi3Cu | the Alexandria database | PBE | optimized geometry
data_BaTi3Cu
_chemical_formula_sum 'Ba1 Ti3 Cu1'
_space_group_name_H-M_alt 'P m -3 m'
_space_group_IT_number 221
_space_group_name_Hall '-P 4 2 3'
_cell_length_a 4.951
_cell_length_b 4.951
_cell_length_c 4.951
_cell_angle_alpha 90.00
_cell_angle_beta 90.00
_cell_angle_gamma 90.00
loop_
_atom_site_label
_atom_site_fract_x
_atom_site_fract_y
_atom_site_fract_z
Ba1 0.000 0.000 0.000
Ti1 0.000 0.000 0.500
Cu1 0.500 0.500 0.500
# Crystal system: cubic
# Energy relative to the elements: 1.996 eV per atom
# Density: 4.71 Mg/m³

***

# 3
# ReAgCl6 | the Alexandria database | PBE | optimized geometry
data_ReAgCl6
_chemical_formula_sum 'Re3 Ag3 Cl18'
_space_group_name_H-M_alt 'R -3'
_space_group_IT_number 148
_space_group_name_Hall '-R 3'
_cell_length_a 6.3162
_cell_length_b 6.3162
_cell_length_c 17.2447
_cell_angle_alpha 90.00
_cell_angle_beta 90.00
_cell_angle_gamma 120.00
loop_
_atom_site_label
_atom_site_fract_x
_atom_site_fract_y
_atom_site_fract_z
Re1 0.0000 0.0000 0.0000
Ag1 0.0000 0.0000 0.5000
Cl1 0.0160 0.3108 0.9224
# Crystal system: trigonal
# Formation energy from raw total energies: -0.538 eV per atom
# Density: 4.24 Mg/m³

***

# 4
# ScReAg2 | the Alexandria database | PBE | optimized geometry
data_ScReAg2
_chemical_formula_sum 'Sc4 Re4 Ag8'
_space_group_name_H-M_alt 'I -4 2 d'
_space_group_IT_number 122
_space_group_name_Hall 'I -4 2bw'
_cell_length_a 3.862
_cell_length_b 3.862
_cell_length_c 20.334
_cell_angle_alpha 90.00
_cell_angle_beta 90.00
_cell_angle_gamma 90.00
loop_
_atom_site_label
_atom_site_fract_x
_atom_site_fract_y
_atom_site_fract_z
Sc1 0.000 0.000 0.000
Re1 0.000 0.000 0.500
Ag1 0.242 0.250 0.625
# Crystal system: tetragonal
# Energy relative to the elements: 0.652 eV per atom
# Density: 9.79 Mg/m³

***

Number 1: M_tot 1.0 μB per formula unit. Number 2: M_tot 2.1 μB per formula unit. Number 3: M_tot 2.0 μB per formula unit. Number 4: M_tot 0.0 μB per formula unit.